Record 1
DFT (PBE-GGA) results for a geometry-optimized SrGa4Pd2Au structure.

Computed properties:
DOS(E_F): 12.71 states/eV/cell

Unit cell a=4.3583 b=4.3583 c=28.5755 alpha=90.00 beta=90.00 gamma=120.00
Space group R-3m (No. 166, hexagonal axes)
Inequivalent atoms, fractional coordinates:
Sr 0.0000 0.0000 0.0000 (multiplicity 3)
Ga 0.0000 0.0000 0.1263 (multiplicity 6)
Ga 0.0000 0.0000 0.4039 (multiplicity 6)
Pd 0.0000 0.0000 0.2394 (multiplicity 6)
Au 0.0000 0.0000 0.5000 (multiplicity 3)

Record 2
DFT (PBE-GGA) results for a geometry-optimized TePdI2O structure.

Computed properties:
DOS(E_F): 13.87 states/eV/cell

Unit cell a=5.434 b=5.434 c=5.207 alpha=90.00 beta=90.00 gamma=90.00
Space group P4/mmm (No. 123)
Inequivalent atoms, fractional coordinates:
Te 0.000 0.000 0.000 (multiplicity 1)
Pd 0.000 0.000 0.500 (multiplicity 1)
I 0.000 0.500 0.500 (multiplicity 2)
O 0.500 0.500 0.000 (multiplicity 1)

Record 3
DFT (PBE-GGA) results for a geometry-optimized NaTe2H structure.

Unit cell a=6.335 b=6.802 c=11.397 alpha=90.00 beta=106.05 gamma=90.00
Space group P2/c (No. 13)
Inequivalent atoms, fractional coordinates:
Na 0.213 0.158 0.414 (multiplicity 4)
Te 0.127 0.366 0.881 (multiplicity 4)
Te 0.323 0.157 0.138 (multiplicity 4)
H 0.337 0.262 0.840 (multiplicity 4)

Record 4
DFT (PBE-GGA) results for a geometry-optimized Co2IrPb structure.

Computed properties:
DOS(E_F): 13.22 states/eV/cell

Unit cell a=4.052 b=4.052 c=7.175 alpha=90.00 beta=90.00 gamma=90.00
Space group I4/mmm (No. 139)
Inequivalent atoms, fractional coordinates:
Co 0.000 0.500 0.250 (multiplicity 4)
Ir 0.000 0.000 0.000 (multiplicity 2)
Pb 0.000 0.000 0.500 (multiplicity 2)

Record 5
DFT (PBE-GGA) results for a geometry-optimized Pm3Pr4Dy structure.

Computed properties:
DOS(E_F): 26.39 states/eV/cell

Unit cell a=23.891 b=3.540 c=6.978 alpha=90.00 beta=106.90 gamma=90.00
Space group C2/m (No. 12)
Inequivalent atoms, fractional coordinates:
Pm 0.000 0.000 0.000 (multiplicity 2)
Pm 0.123 0.000 0.382 (multiplicity 4)
Pr 0.123 0.000 0.863 (multiplicity 4)
Pr 0.242 0.500 0.738 (multiplicity 4)
Dy 0.000 0.500 0.500 (multiplicity 2)

Record 6
DFT (PBE-GGA) results for a geometry-optimized AlCr2Fe structure.

Computed properties:
DOS(E_F): 7.66 states/eV/cell

Unit cell a=4.823 b=8.001 c=2.493 alpha=90.00 beta=90.00 gamma=90.00
Space group Cmmm (No. 65)
Inequivalent atoms, fractional coordinates:
Al 0.000 0.000 0.000 (multiplicity 2)
Cr 0.250 0.250 0.500 (multiplicity 4)
Fe 0.000 0.500 0.000 (multiplicity 2)

Record 7
DFT (PBE-GGA) results for a geometry-optimized KCuNi structure.

Computed properties:
DOS(E_F): 1.12 states/eV/cell

Unit cell a=2.8781 b=2.8781 c=7.3351 alpha=90.00 beta=90.00 gamma=120.00
Space group P3m1 (No. 156)
Inequivalent atoms, fractional coordinates:
K 0.0000 0.0000 0.0000 (multiplicity 1)
Cu 0.6667 0.3333 0.6109 (multiplicity 1)
Ni 0.3333 0.6667 0.3593 (multiplicity 1)

Record 8
DFT (PBE-GGA) results for a geometry-optimized BeAl2Cd structure.

Computed properties:
DOS(E_F): 2.32 states/eV/cell

Unit cell a=8.955 b=2.837 c=5.368 alpha=90.00 beta=104.79 gamma=90.00
Space group C2/m (No. 12)
Inequivalent atoms, fractional coordinates:
Be 0.000 0.000 0.000 (multiplicity 2)
Al 0.232 0.500 0.220 (multiplicity 4)
Cd 0.000 0.500 0.500 (multiplicity 2)

Record 9
DFT (PBE-GGA) results for a geometry-optimized LiNbPdRh structure.

Computed properties:
DOS(E_F): 13.80 states/eV/cell

Unit cell a=6.221 b=6.221 c=6.221 alpha=90.00 beta=90.00 gamma=90.00
Space group F-43m (No. 216)
Inequivalent atoms, fractional coordinates:
Li 0.000 0.000 0.000 (multiplicity 4)
Nb 0.000 0.000 0.500 (multiplicity 4)
Pd 0.250 0.250 0.250 (multiplicity 4)
Rh 0.250 0.250 0.750 (multiplicity 4)

Record 10
DFT (PBE-GGA) results for a geometry-optimized SrFeCu2 structure.

Computed properties:
DOS(E_F): 4.19 states/eV/cell

Unit cell a=3.367 b=3.889 c=6.301 alpha=90.00 beta=104.63 gamma=90.00
Space group Pm (No. 6)
Inequivalent atoms, fractional coordinates:
Sr 0.000 0.000 0.000 (multiplicity 1)
Fe 0.272 0.500 0.574 (multiplicity 1)
Cu 0.631 0.500 0.276 (multiplicity 1)
Cu 0.742 0.000 0.519 (multiplicity 1)

Record 11
DFT (PBE-GGA) results for a geometry-optimized TcP2HO structure.

Computed properties:
DOS(E_F): 1.81 states/eV/cell

Unit cell a=4.691 b=4.691 c=3.703 alpha=90.00 beta=90.00 gamma=90.00
Space group P4/mmm (No. 123)
Inequivalent atoms, fractional coordinates:
Tc 0.000 0.000 0.000 (multiplicity 1)
P 0.000 0.500 0.000 (multiplicity 2)
H 0.500 0.500 0.500 (multiplicity 1)
O 0.000 0.000 0.500 (multiplicity 1)

Record 12
DFT (PBE-GGA) results for a geometry-optimized Mg3ZrSn structure.

Computed properties:
DOS(E_F): 4.76 states/eV/cell

Unit cell a=5.524 b=5.524 c=5.524 alpha=90.00 beta=90.00 gamma=90.00
Space group Pm-3m (No. 221)
Inequivalent atoms, fractional coordinates:
Mg 0.000 0.000 0.500 (multiplicity 3)
Zr 0.000 0.000 0.000 (multiplicity 1)
Sn 0.500 0.500 0.500 (multiplicity 1)

Record 13
DFT (PBE-GGA) results for a geometry-optimized TlPSe structure.

Computed properties:
DOS(E_F): 3.64 states/eV/cell

Unit cell a=2.947 b=5.753 c=10.073 alpha=90.00 beta=90.00 gamma=90.00
Space group Imm2 (No. 44)
Inequivalent atoms, fractional coordinates:
Tl 0.000 0.000 0.000 (multiplicity 2)
P 0.000 0.000 0.595 (multiplicity 2)
Se 0.000 0.000 0.372 (multiplicity 2)

Record 14
DFT (PBE-GGA) results for a geometry-optimized BePt3 structure.

Computed properties:
DOS(E_F): 1.34 states/eV/cell

Unit cell a=4.585 b=4.585 c=2.758 alpha=90.00 beta=90.00 gamma=90.00
Space group P4/mmm (No. 123)
Inequivalent atoms, fractional coordinates:
Be 0.000 0.000 0.000 (multiplicity 1)
Pt 0.000 0.500 0.500 (multiplicity 2)
Pt 0.500 0.500 0.000 (multiplicity 1)

Record 15
DFT (PBE-GGA) results for a geometry-optimized Tm6PdRh5 structure.

Computed properties:
DOS(E_F): 13.23 states/eV/cell

Unit cell a=4.751 b=6.923 c=14.225 alpha=90.00 beta=90.00 gamma=90.00
Space group Immm (No. 71)
Inequivalent atoms, fractional coordinates:
Tm 0.000 0.246 0.000 (multiplicity 4)
Tm 0.000 0.252 0.332 (multiplicity 8)
Pd 0.000 0.000 0.500 (multiplicity 2)
Rh 0.000 0.000 0.166 (multiplicity 4)
Rh 0.000 0.500 0.166 (multiplicity 4)
Rh 0.000 0.500 0.500 (multiplicity 2)

Record 16
DFT (PBE-GGA) results for a geometry-optimized AlSiSe2 structure.

Computed properties:
DOS(E_F): 3.28 states/eV/cell

Unit cell a=3.573 b=4.232 c=12.732 alpha=90.00 beta=90.00 gamma=90.00
Space group Immm (No. 71)
Inequivalent atoms, fractional coordinates:
Al 0.000 0.000 0.000 (multiplicity 2)
Si 0.000 0.000 0.500 (multiplicity 2)
Se 0.000 0.500 0.360 (multiplicity 4)

Record 17
DFT (PBE-GGA) results for a geometry-optimized ZrAlGa structure.

Computed properties:
DOS(E_F): 6.18 states/eV/cell

Unit cell a=5.719 b=4.973 c=8.408 alpha=90.00 beta=111.58 gamma=90.00
Space group P2_1/c (No. 14)
Inequivalent atoms, fractional coordinates:
Zr 0.006 0.244 0.376 (multiplicity 4)
Al 0.362 0.749 0.466 (multiplicity 4)
Ga 0.351 0.224 0.212 (multiplicity 4)

Record 18
DFT (PBE-GGA) results for a geometry-optimized ScCr3H structure.

Computed properties:
DOS(E_F): 6.18 states/eV/cell

Unit cell a=3.892 b=3.892 c=3.892 alpha=90.00 beta=90.00 gamma=90.00
Space group Pm-3m (No. 221)
Inequivalent atoms, fractional coordinates:
Sc 0.000 0.000 0.000 (multiplicity 1)
Cr 0.000 0.500 0.500 (multiplicity 3)
H 0.500 0.500 0.500 (multiplicity 1)

Record 19
DFT (PBE-GGA) results for a geometry-optimized CaHf3Se structure.

Computed properties:
DOS(E_F): 8.15 states/eV/cell

Unit cell a=5.093 b=5.093 c=5.093 alpha=90.00 beta=90.00 gamma=90.00
Space group Pm-3m (No. 221)
Inequivalent atoms, fractional coordinates:
Ca 0.000 0.000 0.000 (multiplicity 1)
Hf 0.000 0.000 0.500 (multiplicity 3)
Se 0.500 0.500 0.500 (multiplicity 1)

Record 20
DFT (PBE-GGA) results for a geometry-optimized TeP2 structure.

Computed properties:
DOS(E_F): 3.06 states/eV/cell

Unit cell a=3.367 b=15.881 c=5.151 alpha=90.00 beta=90.00 gamma=90.00
Space group Cmcm (No. 63)
Inequivalent atoms, fractional coordinates:
Te 0.000 0.157 0.250 (multiplicity 4)
P 0.000 0.105 0.750 (multiplicity 4)
P 0.000 0.490 0.250 (multiplicity 4)

Record 21
DFT (PBE-GGA) results for a geometry-optimized LaTh4P5 structure.

Computed properties:
DOS(E_F): 7.98 states/eV/cell

Unit cell a=13.841 b=4.157 c=10.204 alpha=90.00 beta=119.57 gamma=90.00
Space group C2/m (No. 12)
Inequivalent atoms, fractional coordinates:
La 0.000 0.000 0.000 (multiplicity 2)
Th 0.098 0.500 0.399 (multiplicity 4)
Th 0.201 0.000 0.799 (multiplicity 4)
P 0.000 0.000 0.500 (multiplicity 2)
P 0.104 0.500 0.898 (multiplicity 4)
P 0.201 0.000 0.304 (multiplicity 4)

Record 22
DFT (PBE-GGA) results for a geometry-optimized ZrHg2Os structure.

Computed properties:
DOS(E_F): 5.61 states/eV/cell

Unit cell a=5.630 b=9.113 c=3.016 alpha=90.00 beta=90.00 gamma=90.00
Space group Cmmm (No. 65)
Inequivalent atoms, fractional coordinates:
Zr 0.000 0.000 0.000 (multiplicity 2)
Hg 0.250 0.250 0.500 (multiplicity 4)
Os 0.000 0.500 0.000 (multiplicity 2)

Record 23
DFT (PBE-GGA) results for a geometry-optimized CdAg6Pd2 structure.

Computed properties:
DOS(E_F): 7.41 states/eV/cell

Unit cell a=13.287 b=9.816 c=4.958 alpha=90.00 beta=99.05 gamma=90.00
Space group C2/c (No. 15)
Inequivalent atoms, fractional coordinates:
Cd 0.000 0.130 0.250 (multiplicity 4)
Ag 0.056 0.379 0.532 (multiplicity 8)
Ag 0.116 0.127 0.805 (multiplicity 8)
Ag 0.228 0.123 0.356 (multiplicity 8)
Pd 0.164 0.373 0.090 (multiplicity 8)

Record 24
DFT (PBE-GGA) results for a geometry-optimized Co2NiBr structure.

Computed properties:
DOS(E_F): 10.16 states/eV/cell

Unit cell a=3.804 b=3.804 c=7.278 alpha=90.00 beta=90.00 gamma=90.00
Space group I4/mmm (No. 139)
Inequivalent atoms, fractional coordinates:
Co 0.000 0.500 0.250 (multiplicity 4)
Ni 0.000 0.000 0.000 (multiplicity 2)
Br 0.000 0.000 0.500 (multiplicity 2)

Record 25
DFT (PBE-GGA) results for a geometry-optimized Ho8Ge3Se4S structure.

Computed properties:
DOS(E_F): 7.62 states/eV/cell

Unit cell a=8.1511 b=8.1511 c=20.0675 alpha=90.00 beta=90.00 gamma=120.00
Space group R-3m (No. 166, hexagonal axes)
Inequivalent atoms, fractional coordinates:
Ho 0.0000 0.0000 0.2461 (multiplicity 6)
Ho 0.0026 0.5013 0.7549 (multiplicity 18)
Ge 0.0000 0.5000 0.5000 (multiplicity 9)
Se 0.0000 0.0000 0.0000 (multiplicity 3)
Se 0.0000 0.5000 0.0000 (multiplicity 9)
S 0.0000 0.0000 0.5000 (multiplicity 3)

Record 26
DFT (PBE-GGA) results for a geometry-optimized Sc2GeC structure.

Computed properties:
DOS(E_F): 11.00 states/eV/cell

Unit cell a=3.4577 b=3.4577 c=24.3273 alpha=90.00 beta=90.00 gamma=120.00
Space group R-3m (No. 166, hexagonal axes)
Inequivalent atoms, fractional coordinates:
Sc 0.0000 0.0000 0.0864 (multiplicity 6)
Ge 0.0000 0.0000 0.5000 (multiplicity 3)
C 0.0000 0.0000 0.0000 (multiplicity 3)

no.,M_tot (μB per formula unit),energy (eV per cell)
1,0.000,-93.667
2,0.000,-12.267
3,0.000,-47.375
4,2.535,-49.922
5,0.000,-73.562
6,1.424,-62.313
7,0.000,-8.585
8,0.000,-21.987
9,0.000,-103.255
10,3.036,-16.727
11,0.000,-27.329
12,1.785,-12.040
13,0.000,-21.000
14,0.000,-22.623
15,0.000,-160.697
16,0.000,-33.074
17,0.000,-65.223
18,2.873,-36.466
19,0.000,-26.416
20,0.000,-54.156
21,0.000,-154.618
22,0.328,-37.089
23,0.000,-114.065
24,3.925,-37.309
25,0.000,-279.204
26,0.000,-71.369